# 1
LiSiOs2 | PBE | relaxed

Structure (CIF):
```
data_LiSiOs2
_chemical_formula_sum 'Li2 Si2 Os4'
_space_group_name_H-M_alt 'C m m 2'
_space_group_IT_number 35
_cell_length_a 2.830
_cell_length_b 4.596
_cell_length_c 8.805
_cell_angle_alpha 90.00
_cell_angle_beta 90.00
_cell_angle_gamma 90.00
loop_
_space_group_symop_operation_xyz
'x,y,z'
'-x,-y,z'
'-x,y,z'
'x,-y,z'
'x+1/2,y+1/2,z'
'-x+1/2,-y+1/2,z'
'-x+1/2,y+1/2,z'
'x+1/2,-y+1/2,z'
loop_
_atom_site_label
_atom_site_type_symbol
_atom_site_fract_x
_atom_site_fract_y
_atom_site_fract_z
Li1 Li 0.000 0.000 0.000
Si1 Si 0.000 0.500 0.748
Os1 Os 0.000 0.000 0.523
Os2 Os 0.000 0.500 0.259
```

=====

# 2
LiSiOs2 | PBE | relaxed

Structure (CIF):
```
data_LiSiOs2
_chemical_formula_sum 'Li3 Si3 Os6'
_space_group_name_H-M_alt 'R -3 m'
_space_group_IT_number 166
_space_group_name_Hall '-R 3 2"'
_cell_length_a 2.7982
_cell_length_b 2.7982
_cell_length_c 24.6712
_cell_angle_alpha 90.00
_cell_angle_beta 90.00
_cell_angle_gamma 120.00
loop_
_atom_site_label
_atom_site_type_symbol
_atom_site_fract_x
_atom_site_fract_y
_atom_site_fract_z
Li1 Li 0.0000 0.0000 0.0000
Si1 Si 0.0000 0.0000 0.5000
Os1 Os 0.0000 0.0000 0.2417
```

=====

# 3
Li2SiOs | PBE | relaxed

Structure (CIF):
```
data_Li2SiOs
_chemical_formula_sum 'Li2 Si1 Os1'
_space_group_name_H-M_alt 'P 1 m 1'
_space_group_IT_number 6
_cell_length_a 2.709
_cell_length_b 3.827
_cell_length_c 5.363
_cell_angle_alpha 90.00
_cell_angle_beta 104.49
_cell_angle_gamma 90.00
loop_
_space_group_symop_operation_xyz
'x,y,z'
'x,-y,z'
loop_
_atom_site_label
_atom_site_type_symbol
_atom_site_fract_x
_atom_site_fract_y
_atom_site_fract_z
Li1 Li 0.000 0.000 0.000
Li2 Li 0.393 0.500 0.795
Si1 Si 0.250 0.000 0.487
Os1 Os 0.666 0.500 0.320
```

=====

# 4
LiSiOs2 | PBE | relaxed

Structure (CIF):
```
data_LiSiOs2
_chemical_formula_sum 'Li2 Si2 Os4'
_space_group_name_H-M_alt 'I -4 m 2'
_space_group_IT_number 119
_space_group_name_Hall 'I -4 -2'
_cell_length_a 3.880
_cell_length_b 3.880
_cell_length_c 6.978
_cell_angle_alpha 90.00
_cell_angle_beta 90.00
_cell_angle_gamma 90.00
loop_
_atom_site_label
_atom_site_type_symbol
_atom_site_fract_x
_atom_site_fract_y
_atom_site_fract_z
Li1 Li 0.000 0.000 0.000
Si1 Si 0.000 0.500 0.250
Os1 Os 0.000 0.000 0.500
Os2 Os 0.000 0.500 0.750
```

=====

# 5
Li2SiOs | PBE | relaxed

Structure (CIF):
```
data_Li2SiOs
_chemical_formula_sum 'Li2 Si1 Os1'
_space_group_name_H-M_alt 'P m m m'
_space_group_IT_number 47
_cell_length_a 2.860
_cell_length_b 4.031
_cell_length_c 4.501
_cell_angle_alpha 90.00
_cell_angle_beta 90.00
_cell_angle_gamma 90.00
loop_
_space_group_symop_operation_xyz
'x,y,z'
'-x,-y,-z'
'-x,-y,z'
'x,y,-z'
'x,-y,-z'
'-x,y,z'
'-x,y,-z'
'x,-y,z'
loop_
_atom_site_label
_atom_site_type_symbol
_atom_site_fract_x
_atom_site_fract_y
_atom_site_fract_z
Li1 Li 0.000 0.000 0.000
Li2 Li 0.500 0.500 0.000
Si1 Si 0.000 0.500 0.500
Os1 Os 0.500 0.000 0.500
```

=====

# 6
LiSiOs2 | PBE | relaxed

Structure (CIF):
```
data_LiSiOs2
_chemical_formula_sum 'Li1 Si1 Os2'
_space_group_name_H-M_alt 'P 4 m m'
_space_group_IT_number 99
_cell_length_a 2.961
_cell_length_b 2.961
_cell_length_c 5.714
_cell_angle_alpha 90.00
_cell_angle_beta 90.00
_cell_angle_gamma 90.00
loop_
_space_group_symop_operation_xyz
'x,y,z'
'-y,x,z'
'-x,-y,z'
'y,-x,z'
'-x,y,z'
'y,x,z'
'x,-y,z'
'-y,-x,z'
loop_
_atom_site_label
_atom_site_type_symbol
_atom_site_fract_x
_atom_site_fract_y
_atom_site_fract_z
Li1 Li 0.000 0.000 0.000
Si1 Si 0.500 0.500 0.786
Os1 Os 0.000 0.000 0.534
Os2 Os 0.500 0.500 0.232
```

=====

| no. | uncorrected energy (eV per atom) |
| --- | --- |
| 1 | -7.1484 |
| 2 | -7.4209 |
| 3 | -5.2352 |
| 4 | -7.3898 |
| 5 | -5.2829 |
| 6 | -7.4596 |